[1]
Material: Pm5HgIr4
Method: DFT, PBE
State: relaxed

- total DFT energy (no corrections) (eV per cell) = -65.50
- E_form (kJ per mole of atoms) = -57.9
- DOS(E_F) (states/eV per cell) = 6.39
- spin magnetization (μB/f.u.) = 0.0

Lattice parameters (Å, degrees): 3.5818 3.5818 17.9694 90.00 90.00 90.00
Last column: nearest neighbours and their distance in Å.
Space group P4/mmm (No. 123)
Asymmetric unit:
Pm 0.0000 0.0000 0.0000  8 Ir 3.08, 2 Pm 3.43
Pm 0.0000 0.0000 0.1908  8 Ir 3.04-3.10, 1 Pm 3.40
Pm 0.0000 0.0000 0.3798  4 Ir 3.00, 4 Hg 3.33
Hg 0.5000 0.5000 0.5000  8 Pm 3.33, 4 Hg 3.58
Ir 0.5000 0.5000 0.0971  8 Pm 3.04-3.08
Ir 0.5000 0.5000 0.2906  8 Pm 3.00-3.10

***

[2]
Material: La8Ga2Fe
Method: DFT, PBE
State: relaxed

- total DFT energy (no corrections) (eV per cell) = -111.89
- E_form (kJ per mole of atoms) = -17.6
- DOS(E_F) (states/eV per cell) = 22.10
- spin magnetization (μB/f.u.) = 0.0

Lattice parameters (Å, degrees): 18.5912 5.4358 6.8278 90.00 111.22 90.00
Last column: nearest neighbours and their distance in Å.
Space group C2/m (No. 12)
Asymmetric unit:
La 0.0072 0.0000 0.2256  3 La 2.99-3.23, 2 Fe 3.10
La 0.0872 0.5000 0.7814  1 Fe 2.57
La 0.1517 0.5000 0.3729  1 Fe 3.04, 1 La 3.27, 3 Ga 3.28-3.33
La 0.2130 0.0000 0.1606  3 Ga 3.24-3.39, 4 La 3.27-3.59
Ga 0.1732 0.0000 0.6571  9 La 3.24-3.41
Fe 0.0000 0.5000 0.0000  2 La 2.57

***

[3]
Material: Be6NiPt5
Method: DFT, PBE
State: relaxed

- total DFT energy (no corrections) (eV per cell) = -66.95
- E_form (kJ per mole of atoms) = -69.2
- DOS(E_F) (states/eV per cell) = 3.64
- spin magnetization (μB/f.u.) = 0.0

Lattice parameters (Å, degrees): 3.9935 5.5836 6.3238 90.00 108.25 90.00
Last column: nearest neighbours and their distance in Å.
Space group P2/m (No. 10)
Asymmetric unit:
Be 0.0000 0.2396 0.0000  6 Pt 2.37-2.48, 2 Ni 2.40
Be 0.3368 0.2429 0.6746  1 Ni 2.38, 7 Pt 2.41-2.50
Ni 0.5000 0.0000 0.0000  8 Be 2.38-2.40
Pt 0.1640 0.0000 0.3263  8 Be 2.37-2.49
Pt 0.1669 0.5000 0.3337  8 Be 2.46-2.50
Pt 0.5000 0.5000 0.0000  8 Be 2.42-2.47

***

[4]
Material: Ni6PtRh2
Method: DFT, PBE
State: relaxed

- total DFT energy (no corrections) (eV per cell) = -217.00
- E_form (kJ per mole of atoms) = 12.7
- DOS(E_F) (states/eV per cell) = 60.70
- spin magnetization (μB/f.u.) = 6.8

Lattice parameters (Å, degrees): 10.6895 7.9522 7.2832 90.00 131.91 90.00
Last column: nearest neighbours and their distance in Å.
Space group C2/c (No. 15)
Asymmetric unit:
Ni 0.0781 0.2133 0.0619  6 Ni 2.34-2.57, 1 Rh 2.54, 2 Pt 2.56-2.57
Ni 0.1485 0.3510 0.8332  8 Ni 2.46-2.61, 2 Rh 2.52-2.64
Ni 0.2122 0.0807 0.7145  6 Ni 2.34-2.61, 2 Rh 2.47-2.62, 2 Pt 2.56-2.57
Pt 0.0000 0.0134 0.2500  8 Ni 2.56-2.57
Rh 0.1476 0.3575 0.4693  7 Ni 2.47-2.68, 2 Rh 2.57-2.59